Below is crystalline TbSb2 at its relaxed geometry, with properties calculated at the GGA-PBEsol level.

```
12
Lattice="3.058 -2.996 0.000 3.058 2.996 0.000 0.000 0.000 17.470" Properties=species:S:1:pos:R:3 pbc="T T T"
Tb 3.058 2.128 15.544
Tb 3.058 0.868 6.809
Tb 3.058 -0.868 10.661
Tb 3.058 -2.128 1.926
Sb 1.529 0.721 13.102
Sb 3.058 2.139 9.874
Sb 3.058 0.857 1.139
Sb 1.529 -0.721 4.367
Sb 4.587 0.721 13.102
Sb 3.058 -0.857 16.331
Sb 3.058 -2.139 7.596
Sb 4.587 -0.721 4.367
```

Calculated values
**ρ**: 8.35 g cm⁻³
**Raw total energy**: -5.50 eV/atom

***

Below is crystalline Tb2Sb5 at its relaxed geometry, with properties calculated at the GGA-PBEsol level.

```
28
Lattice="13.042 0.000 0.000 0.000 4.149 0.000 -2.973 0.000 14.152" Properties=species:S:1:pos:R:3 pbc="T T T"
Tb -0.466 1.037 5.121
Tb 2.615 1.037 8.178
Tb 1.856 1.037 12.109
Tb 4.425 3.111 3.242
Tb 5.645 1.037 10.909
Tb 8.213 3.111 2.043
Tb 7.454 3.111 5.973
Tb 10.535 3.111 9.030
Sb 0.154 1.037 1.205
Sb -0.205 1.037 9.611
Sb 1.189 3.111 3.143
Sb 0.348 3.111 7.343
Sb -0.510 3.111 11.761
Sb 3.419 1.037 0.899
Sb 2.653 1.037 4.898
Sb 5.408 3.111 0.338
Sb 3.367 3.111 10.398
Sb 4.228 3.111 6.360
Sb 5.841 1.037 7.792
Sb 6.702 1.037 3.754
Sb 4.661 1.037 13.814
Sb 7.416 3.111 9.254
Sb 6.650 3.111 13.253
Sb 10.579 1.037 2.391
Sb 9.721 1.037 6.809
Sb 8.880 1.037 11.009
Sb 10.274 3.111 4.541
Sb 9.915 3.111 12.947
```

Calculated values
**ρ**: 8.04 g cm⁻³
**Raw total energy**: -5.39 eV/atom

***

Below is crystalline Tb2ZnSb4 at its relaxed geometry, with properties calculated at the GGA-PBEsol level.

```
7
Lattice="4.275 0.000 0.000 0.000 4.275 0.000 0.000 0.000 9.685" Properties=species:S:1:pos:R:3 pbc="T T T"
Tb 0.000 2.137 2.421
Tb 2.137 0.000 7.264
Zn 0.000 0.000 0.000
Sb 0.000 0.000 4.843
Sb 0.000 2.137 8.139
Sb 2.137 0.000 1.546
Sb 2.137 2.137 4.843
```

Calculated values
**ρ**: 8.17 g cm⁻³
**Raw total energy**: -4.97 eV/atom

***

Below is crystalline TcSb2 at its relaxed geometry, with properties calculated at the GGA-PBEsol level.

```
6
Lattice="-3.147 3.147 2.990 3.147 -3.147 2.990 3.147 3.147 -2.990" Properties=species:S:1:pos:R:3 pbc="T T T"
Tc 0.000 0.000 1.495
Tc 0.000 0.000 4.485
Sb 4.169 1.022 0.000
Sb 1.022 2.125 0.000
Sb 2.125 1.022 2.990
Sb -1.022 2.125 2.990
```

Calculated values
**Energy above the lowest structure with this stoichiometry**: 32.5 meV/atom
**ρ**: 9.57 g cm⁻³
**Raw total energy**: -6.79 eV/atom

***

Below is crystalline Tc3Sb at its relaxed geometry, with properties calculated at the GGA-PBEsol level.

```
4
Lattice="2.935 0.000 0.000 0.000 4.496 0.000 0.000 0.000 4.693" Properties=species:S:1:pos:R:3 pbc="T T T"
Tc 0.000 0.000 0.000
Tc 0.000 2.248 1.285
Tc 1.467 2.248 3.752
Sb 1.467 0.000 2.269
```

Calculated values
**Energy above the lowest structure with this stoichiometry**: 19.9 meV/atom
**ρ**: 11.15 g cm⁻³
**Raw total energy**: -9.34 eV/atom

***

Below is crystalline TcSb3 at its relaxed geometry, with properties calculated at the GGA-PBEsol level.

```
8
Lattice="3.327 0.000 0.000 0.000 8.612 0.000 0.000 0.000 6.425" Properties=species:S:1:pos:R:3 pbc="T T T"
Tc 0.832 2.153 0.232
Tc 2.495 6.459 6.193
Sb 0.832 4.816 1.266
Sb 0.832 6.459 4.085
Sb 0.832 8.103 1.266
Sb 2.495 0.510 5.159
Sb 2.495 2.153 2.340
Sb 2.495 3.797 5.159
```

Calculated values
**Energy above the lowest structure with this stoichiometry**: 18.2 meV/atom
**ρ**: 8.36 g cm⁻³
**Raw total energy**: -6.20 eV/atom

***

Below is crystalline TcSb3 at its relaxed geometry, with properties calculated at the GGA-PBEsol level.

```
4
Lattice="3.218 0.000 0.000 0.000 3.218 0.000 0.000 0.000 8.523" Properties=species:S:1:pos:R:3 pbc="T T T"
Tc 0.000 0.000 0.000
Sb 0.000 0.000 4.261
Sb 1.609 1.609 1.611
Sb 1.609 1.609 6.912
```

Calculated values
**Energy above the lowest structure with this stoichiometry**: 83.9 meV/atom
**ρ**: 8.72 g cm⁻³
**Raw total energy**: -6.14 eV/atom

***

Below is crystalline TcSb3 at its relaxed geometry, with properties calculated at the GGA-PBEsol level.

```
16
Lattice="6.658 0.000 0.000 0.000 8.125 0.000 0.000 0.000 6.490" Properties=species:S:1:pos:R:3 pbc="T T T"
Tc 1.068 2.031 0.130
Tc 2.261 6.094 3.375
Tc 4.397 2.031 3.115
Tc 5.590 6.094 6.359
Sb 0.187 2.031 4.070
Sb 1.192 4.629 5.537
Sb 1.192 7.559 5.537
Sb 2.137 0.567 2.293
Sb 2.137 3.496 2.293
Sb 3.143 6.094 0.825
Sb 3.516 2.031 5.665
Sb 4.521 4.629 4.197
Sb 4.521 7.559 4.197
Sb 5.467 0.567 0.952
Sb 5.467 3.496 0.952
Sb 6.472 6.094 2.420
```

Calculated values
**Energy above the lowest structure with this stoichiometry**: 0.0 meV/atom
**ρ**: 8.76 g cm⁻³
**Raw total energy**: -6.22 eV/atom

***

Below is crystalline TcSb2 at its relaxed geometry, with properties calculated at the GGA-PBEsol level.

```
6
Lattice="6.921 -1.636 0.000 6.921 1.636 0.000 -2.998 0.000 5.723" Properties=species:S:1:pos:R:3 pbc="T T T"
Tc 2.816 0.000 0.989
Tc 8.028 0.000 4.734
Sb 0.602 0.000 2.614
Sb 5.453 0.000 0.614
Sb 5.391 0.000 5.109
Sb 10.242 0.000 3.109
```

Calculated values
**Energy above the lowest structure with this stoichiometry**: 0.0 meV/atom
**ρ**: 8.75 g cm⁻³
**Raw total energy**: -6.83 eV/atom

***

Below is crystalline Tc3Sb at its relaxed geometry, with properties calculated at the GGA-PBEsol level.

```
4
Lattice="-1.552 2.212 4.440 1.552 -2.212 4.440 1.552 2.212 -4.440" Properties=species:S:1:pos:R:3 pbc="T T T"
Tc 0.000 0.000 0.000
Tc 1.552 0.000 2.320
Tc 0.000 2.212 2.120
Sb 0.000 0.000 4.440
```

Calculated values
**Energy above the lowest structure with this stoichiometry**: 0.0 meV/atom
**ρ**: 11.33 g cm⁻³
**Raw total energy**: -9.36 eV/atom

***

Below is crystalline TcSb2 at its relaxed geometry, with properties calculated at the GGA-PBEsol level.

```
6
Lattice="-1.610 1.610 12.347 1.610 -1.610 12.347 1.610 1.610 -12.347" Properties=species:S:1:pos:R:3 pbc="T T T"
Tc 1.610 0.805 3.087
Tc 0.000 0.805 9.260
Sb 1.610 -0.805 7.651
Sb 1.610 -0.805 10.869
Sb 0.000 2.414 1.478
Sb 0.000 2.414 4.695
```

Calculated values
**Energy above the lowest structure with this stoichiometry**: 42.4 meV/atom
**ρ**: 8.86 g cm⁻³
**Raw total energy**: -6.78 eV/atom

***

Below is crystalline TcSb3 at its relaxed geometry, with properties calculated at the GGA-PBEsol level.

```
4
Lattice="5.146 0.000 0.000 0.000 5.146 0.000 0.000 0.000 5.146" Properties=species:S:1:pos:R:3 pbc="T T T"
Tc 0.000 0.000 0.000
Sb 0.000 0.000 2.573
Sb 0.000 2.573 0.000
Sb 2.573 0.000 0.000
```

Calculated values
**Energy above the lowest structure with this stoichiometry**: 707.3 meV/atom
**ρ**: 5.65 g cm⁻³
**Raw total energy**: -5.52 eV/atom